Below is a relaxed NbNiO2F crystal, with properties calculated at the PBEsol level.

Output
D(E_F): 4.857 states/eV/cell
symmetry: P4/mmm, No. 123
energy relative to the elements, uncorrected: -718 meV per atom

Unit cell a=3.783 b=3.783 c=3.623 alpha=90.00 beta=90.00 gamma=90.00
Element x y z (fractional)
Nb (0.000, 0.000, 0.000)
Ni (0.500, 0.500, 0.500)
O (0.000, 0.500, 0.500)
O (0.500, 0.000, 0.500)
F (0.500, 0.500, 0.000)

Below is a relaxed K5Te3 crystal, with properties calculated at the PBEsol level.

Output
D(E_F): 4.776 states/eV/cell
symmetry: I4/m, No. 87
energy relative to the elements, uncorrected: -952 meV per atom

Unit cell a=10.117 b=10.117 c=10.117 alpha=95.60 beta=95.60 gamma=143.60
Element x y z (fractional)
K (0.088, 0.780, 0.869)
K (0.220, 0.088, 0.308)
K (0.250, 0.750, 0.500)
K (0.276, 0.590, 0.866)
K (0.410, 0.276, 0.685)
K (0.590, 0.724, 0.315)
K (0.724, 0.410, 0.134)
K (0.750, 0.250, 0.500)
K (0.780, 0.912, 0.692)
K (0.912, 0.220, 0.131)
Te (0.156, 0.344, 0.500)
Te (0.277, 0.277, 0.000)
Te (0.344, 0.844, 0.188)
Te (0.656, 0.156, 0.812)
Te (0.723, 0.723, 0.000)
Te (0.844, 0.656, 0.500)

Below is a relaxed Rb4UC3O11 crystal, with properties calculated at the PBEsol level.

Output
D(E_F): 0.000 states/eV/cell
symmetry: C2/c, No. 15
energy relative to the elements, uncorrected: -2057 meV per atom

Unit cell a=7.143 b=7.143 c=12.512 alpha=93.20 beta=93.20 gamma=81.91
Element x y z (fractional)
Rb (0.071, 0.716, 0.959)
Rb (0.158, 0.473, 0.657)
Rb (0.284, 0.929, 0.541)
Rb (0.473, 0.158, 0.157)
Rb (0.527, 0.842, 0.843)
Rb (0.716, 0.071, 0.459)
Rb (0.842, 0.527, 0.343)
Rb (0.929, 0.284, 0.041)
U (0.305, 0.695, 0.250)
U (0.695, 0.305, 0.750)
C (0.000, 0.000, 0.250)
C (0.000, 0.000, 0.750)
C (0.339, 0.423, 0.412)
C (0.423, 0.339, 0.912)
C (0.577, 0.661, 0.088)
C (0.661, 0.577, 0.588)
O (0.037, 0.883, 0.329)
O (0.117, 0.963, 0.171)
O (0.135, 0.865, 0.750)
O (0.148, 0.539, 0.181)
O (0.221, 0.582, 0.418)
O (0.286, 0.330, 0.970)
O (0.330, 0.286, 0.470)
O (0.418, 0.779, 0.082)
O (0.419, 0.463, 0.838)
O (0.461, 0.852, 0.319)
O (0.463, 0.419, 0.338)
O (0.537, 0.581, 0.662)
O (0.539, 0.148, 0.681)
O (0.581, 0.537, 0.162)
O (0.582, 0.221, 0.918)
O (0.670, 0.714, 0.530)
O (0.714, 0.670, 0.030)
O (0.779, 0.418, 0.582)
O (0.852, 0.461, 0.819)
O (0.865, 0.135, 0.250)
O (0.883, 0.037, 0.829)
O (0.963, 0.117, 0.671)

Below is a relaxed Re3RuBr crystal, with properties calculated at the PBEsol level.

Output
D(E_F): 6.583 states/eV/cell
symmetry: Pm-3m, No. 221
energy relative to the elements, uncorrected: 2573 meV per atom

Unit cell a=4.673 b=4.673 c=4.673 alpha=90.00 beta=90.00 gamma=90.00
Element x y z (fractional)
Re (0.000, 0.000, 0.500)
Re (0.000, 0.500, 0.000)
Re (0.500, 0.000, 0.000)
Ru (0.000, 0.000, 0.000)
Br (0.500, 0.500, 0.500)

Below is a relaxed ZrAsRu2 crystal, with properties calculated at the PBEsol level.

Output
D(E_F): 3.041 states/eV/cell
energy relative to the elements: -0.247 eV per atom
symmetry: Pmm2, No. 25

Unit cell a=3.091 b=3.862 c=5.234 alpha=90.00 beta=90.00 gamma=90.00
Element x y z (fractional)
Zr (0.000, 0.000, 0.000)
As (0.500, 0.500, 0.313)
Ru (0.000, 0.000, 0.484)
Ru (0.500, 0.500, 0.791)

Below is a relaxed Rh2W crystal, with properties calculated at the PBEsol level.

Output
D(E_F): 4.034 states/eV/cell
energy relative to the elements: 0.052 eV per atom
symmetry: P6/mmm, No. 191

Unit cell a=4.287 b=4.287 c=2.693 alpha=90.00 beta=90.00 gamma=120.00
Element x y z (fractional)
Rh (0.333, 0.667, 0.000)
Rh (0.667, 0.333, 0.000)
W (0.000, 0.000, 0.500)

Below is a relaxed YMnSb2 crystal, with properties calculated at the PBEsol level.

Output
D(E_F): 1.665 states/eV/cell
symmetry: P4mm, No. 99
energy relative to the elements, uncorrected: -296 meV per atom

Unit cell a=4.080 b=4.080 c=5.921 alpha=90.00 beta=90.00 gamma=90.00
Element x y z (fractional)
Y (0.000, 0.000, 0.000)
Mn (0.500, 0.500, 0.389)
Sb (0.000, 0.000, 0.489)
Sb (0.500, 0.500, 0.881)

Below is a relaxed GaPPd5 crystal, with properties calculated at the PBEsol level.

Output
D(E_F): 0.761 states/eV/cell
energy relative to the elements: -0.609 eV per atom
symmetry: P4/mmm, No. 123

Unit cell a=3.869 b=3.869 c=6.736 alpha=90.00 beta=90.00 gamma=90.00
Element x y z (fractional)
Ga (0.000, 0.000, 0.000)
P (0.500, 0.500, 0.500)
Pd (0.000, 0.500, 0.291)
Pd (0.000, 0.500, 0.709)
Pd (0.500, 0.000, 0.291)
Pd (0.500, 0.000, 0.709)
Pd (0.500, 0.500, 0.000)

Below is a relaxed CaCdHg2 crystal, with properties calculated at the PBEsol level.

Output
D(E_F): 1.821 states/eV/cell
energy relative to the elements: -0.323 eV per atom
symmetry: P4mm, No. 99

Unit cell a=3.815 b=3.815 c=6.574 alpha=90.00 beta=90.00 gamma=90.00
Element x y z (fractional)
Ca (0.000, 0.000, 0.000)
Cd (0.500, 0.500, 0.286)
Hg (0.000, 0.000, 0.500)
Hg (0.500, 0.500, 0.752)

Below is a relaxed SrMnTe2 crystal, with properties calculated at the PBEsol level.

Output
D(E_F): 0.116 states/eV/cell
symmetry: R-3m, No. 166
energy relative to the elements, uncorrected: -736 meV per atom
energy above the lowest structure with this stoichiometry: 0.000 eV per atom

Unit cell a=7.598 b=7.598 c=7.598 alpha=33.27 beta=33.27 gamma=33.27
Element x y z (fractional)
Sr (0.000, 0.000, 0.000)
Mn (0.500, 0.500, 0.500)
Te (0.236, 0.236, 0.236)
Te (0.764, 0.764, 0.764)

Below is a relaxed Cs3HoCl6 crystal, with properties calculated at the PBEsol level.

Output
D(E_F): 0.000 states/eV/cell
symmetry: Fm-3m, No. 225
energy relative to the elements, uncorrected: -2109 meV per atom

Unit cell a=8.188 b=8.188 c=8.188 alpha=60.00 beta=60.00 gamma=60.00
Element x y z (fractional)
Cs (0.000, 0.000, 0.000)
Cs (0.250, 0.250, 0.250)
Cs (0.750, 0.750, 0.750)
Ho (0.500, 0.500, 0.500)
Cl (0.276, 0.276, 0.724)
Cl (0.276, 0.724, 0.276)
Cl (0.276, 0.724, 0.724)
Cl (0.724, 0.276, 0.276)
Cl (0.724, 0.276, 0.724)
Cl (0.724, 0.724, 0.276)

Below is a relaxed AlIn2Te crystal, with properties calculated at the PBEsol level.

Output
D(E_F): 1.567 states/eV/cell
symmetry: Cmm2, No. 35
energy relative to the elements, uncorrected: 4 meV per atom
energy above the lowest structure with this stoichiometry: 0.057 eV per atom

Unit cell a=3.725 b=3.725 c=7.181 alpha=90.00 beta=90.00 gamma=90.16
Element x y z (fractional)
Al (0.000, 0.000, 0.000)
In (0.000, 0.000, 0.509)
In (0.500, 0.500, 0.254)
Te (0.500, 0.500, 0.818)

Below is a relaxed YSbIr2 crystal, with properties calculated at the PBEsol level.

Output
D(E_F): 1.360 states/eV/cell
symmetry: Amm2, No. 38
energy relative to the elements, uncorrected: -414 meV per atom

Unit cell a=3.943 b=5.503 c=5.503 alpha=40.28 beta=90.00 gamma=90.00
Element x y z (fractional)
Y (0.000, 0.000, 0.000)
Sb (0.500, 0.704, 0.704)
Ir (0.000, 0.271, 0.271)
Ir (0.500, 0.446, 0.446)

Below is a relaxed FeReTe2 crystal, with properties calculated at the PBEsol level.

Output
D(E_F): 4.423 states/eV/cell
symmetry: Cmmm, No. 65
energy relative to the elements, uncorrected: 992 meV per atom
energy above the lowest structure with this stoichiometry: 0.684 eV per atom

Unit cell a=3.148 b=3.148 c=8.472 alpha=90.00 beta=90.00 gamma=117.21
Element x y z (fractional)
Fe (0.000, 0.000, 0.000)
Re (0.000, 0.000, 0.500)
Te (0.500, 0.500, 0.245)
Te (0.500, 0.500, 0.755)

Below is a relaxed Y2Au crystal, with properties calculated at the PBEsol level.

Output
D(E_F): 6.538 states/eV/cell
energy relative to the elements: -0.590 eV per atom
symmetry: Cmc2_1, No. 36

Unit cell a=6.545 b=6.545 c=6.771 alpha=90.00 beta=90.00 gamma=146.91
Element x y z (fractional)
Y (0.023, 0.977, 0.500)
Y (0.294, 0.706, 0.686)
Y (0.706, 0.294, 0.186)
Y (0.977, 0.023, 0.000)
Au (0.380, 0.620, 0.273)
Au (0.620, 0.380, 0.773)

Below is a relaxed CsTi6O12 crystal, with properties calculated at the PBEsol level.

Output
D(E_F): 15.073 states/eV/cell
symmetry: I4/m, No. 87
energy relative to the elements, uncorrected: -2986 meV per atom

Unit cell a=8.499 b=8.499 c=8.499 alpha=105.76 beta=105.76 gamma=117.19
Element x y z (fractional)
Cs (0.207, 0.207, 0.000)
Cs (0.793, 0.793, 0.000)
Ti (0.013, 0.829, 0.511)
Ti (0.166, 0.654, 0.820)
Ti (0.171, 0.682, 0.184)
Ti (0.318, 0.502, 0.489)
Ti (0.346, 0.166, 0.512)
Ti (0.498, 0.987, 0.816)
Ti (0.502, 0.013, 0.184)
Ti (0.654, 0.834, 0.488)
Ti (0.682, 0.498, 0.511)
Ti (0.829, 0.318, 0.816)
Ti (0.834, 0.346, 0.180)
Ti (0.987, 0.171, 0.489)
O (0.126, 0.493, 0.950)
O (0.130, 0.499, 0.294)
O (0.156, 0.207, 0.363)
O (0.164, 0.463, 0.627)
O (0.164, 0.870, 0.369)
O (0.176, 0.126, 0.632)
O (0.205, 0.836, 0.706)
O (0.207, 0.844, 0.051)
O (0.456, 0.824, 0.950)
O (0.463, 0.836, 0.299)
O (0.493, 0.544, 0.368)
O (0.499, 0.205, 0.369)
O (0.501, 0.795, 0.631)
O (0.507, 0.456, 0.632)
O (0.537, 0.164, 0.701)
O (0.544, 0.176, 0.050)
O (0.793, 0.156, 0.949)
O (0.795, 0.164, 0.294)
O (0.824, 0.874, 0.368)
O (0.836, 0.130, 0.631)
O (0.836, 0.537, 0.373)
O (0.844, 0.793, 0.637)
O (0.870, 0.501, 0.706)
O (0.874, 0.507, 0.050)

Below is a relaxed SbH32C8N4Cl7 crystal, with properties calculated at the PBEsol level.

Output
D(E_F): 0.000 states/eV/cell
symmetry: P2_12_12, No. 18
uncorrected energy: -4.9219 eV/atom

Unit cell a=10.137 b=13.467 c=8.456 alpha=90.00 beta=90.00 gamma=90.00
Element x y z (fractional)
Sb (0.000, 0.000, 0.084)
Sb (0.500, 0.500, 0.916)
H (0.017, 0.377, 0.816)
H (0.057, 0.372, 0.097)
H (0.057, 0.692, 0.225)
H (0.069, 0.758, 0.967)
H (0.069, 0.904, 0.635)
H (0.098, 0.571, 0.152)
H (0.133, 0.554, 0.853)
H (0.139, 0.666, 0.738)
H (0.149, 0.764, 0.469)
H (0.159, 0.019, 0.629)
H (0.173, 0.442, 0.527)
H (0.178, 0.935, 0.382)
H (0.190, 0.272, 0.442)
H (0.208, 0.282, 0.653)
H (0.211, 0.694, 0.007)
H (0.229, 0.913, 0.726)
H (0.271, 0.413, 0.274)
H (0.289, 0.194, 0.993)
H (0.292, 0.782, 0.347)
H (0.310, 0.772, 0.558)
H (0.322, 0.435, 0.618)
H (0.327, 0.942, 0.473)
H (0.341, 0.519, 0.371)
H (0.351, 0.264, 0.531)
H (0.361, 0.166, 0.262)
H (0.367, 0.054, 0.147)
H (0.402, 0.071, 0.848)
H (0.431, 0.258, 0.033)
H (0.431, 0.404, 0.365)
H (0.443, 0.192, 0.775)
H (0.443, 0.872, 0.903)
H (0.483, 0.877, 0.184)
H (0.517, 0.123, 0.184)
H (0.557, 0.128, 0.903)
H (0.557, 0.808, 0.775)
H (0.569, 0.596, 0.365)
H (0.569, 0.742, 0.033)
H (0.598, 0.929, 0.848)
H (0.633, 0.946, 0.147)
H (0.639, 0.834, 0.262)
H (0.649, 0.736, 0.531)
H (0.659, 0.481, 0.371)
H (0.673, 0.058, 0.473)
H (0.678, 0.565, 0.618)
H (0.690, 0.228, 0.558)
H (0.708, 0.218, 0.347)
H (0.711, 0.806, 0.993)
H (0.729, 0.587, 0.274)
H (0.771, 0.087, 0.726)
H (0.789, 0.306, 0.007)
H (0.792, 0.718, 0.653)
H (0.810, 0.728, 0.442)
H (0.822, 0.065, 0.382)
H (0.827, 0.558, 0.527)
H (0.841, 0.981, 0.629)
H (0.851, 0.236, 0.469)
H (0.861, 0.334, 0.738)
H (0.867, 0.446, 0.853)
H (0.902, 0.429, 0.152)
H (0.931, 0.096, 0.635)
H (0.931, 0.242, 0.967)
H (0.943, 0.308, 0.225)
H (0.943, 0.628, 0.097)
H (0.983, 0.623, 0.816)
C (0.048, 0.641, 0.124)
C (0.089, 0.629, 0.838)
C (0.168, 0.938, 0.627)
C (0.247, 0.799, 0.462)
C (0.253, 0.299, 0.538)
C (0.332, 0.438, 0.373)
C (0.411, 0.129, 0.162)
C (0.452, 0.141, 0.876)
C (0.548, 0.859, 0.876)
C (0.589, 0.871, 0.162)
C (0.668, 0.562, 0.373)
C (0.747, 0.701, 0.538)
C (0.753, 0.201, 0.462)
C (0.832, 0.062, 0.627)
C (0.911, 0.371, 0.838)
C (0.952, 0.359, 0.124)
N (0.110, 0.687, 0.984)
N (0.231, 0.908, 0.477)
N (0.269, 0.408, 0.523)
N (0.390, 0.187, 0.016)
N (0.610, 0.813, 0.016)
N (0.731, 0.592, 0.523)
N (0.769, 0.092, 0.477)
N (0.890, 0.313, 0.984)
Cl (0.000, 0.500, 0.482)
Cl (0.077, 0.112, 0.312)
Cl (0.098, 0.149, 0.889)
Cl (0.227, 0.904, 0.084)
Cl (0.273, 0.404, 0.916)
Cl (0.402, 0.649, 0.111)
Cl (0.423, 0.612, 0.688)
Cl (0.500, 0.000, 0.518)
Cl (0.577, 0.388, 0.688)
Cl (0.598, 0.351, 0.111)
Cl (0.727, 0.596, 0.916)
Cl (0.773, 0.096, 0.084)
Cl (0.902, 0.851, 0.889)
Cl (0.923, 0.888, 0.312)

Below is a relaxed La2InH2 crystal, with properties calculated at the PBEsol level.

Output
D(E_F): 1.548 states/eV/cell
symmetry: I4/mmm, No. 139
uncorrected energy: -4.6737 eV/atom

Unit cell a=6.734 b=6.734 c=6.734 alpha=144.84 beta=144.84 gamma=50.58
Element x y z (fractional)
La (0.149, 0.149, 0.000)
La (0.851, 0.851, 0.000)
In (0.500, 0.500, 0.000)
H (0.250, 0.750, 0.500)
H (0.750, 0.250, 0.500)